Below is a relaxed structure of Sr2TiZnRh, with properties calculated at the PBE level.

As for the energy of formation from the pure elements: 1.0777 eV per atom. As for the spin magnetization: 0.706 μB/atom.

The space group is P4/mmm (No. 123) and the conventional cell measures 5.822, 5.822 and 4.769 Å, with angles of 90.00, 90.00 and 90.00 degrees. The inequivalent atoms are Sr at (0.000, 0.500, 0.000), Ti at (0.000, 0.000, 0.000), Zn at (0.000, 0.000, 0.500) and Rh at (0.500, 0.500, 0.500).